(1)
# PBE-GGA Cd2W, relaxed
data_Cd2W
_chemical_formula_sum 'Cd8 W4'
_cell_length_a 4.9688
_cell_length_b 16.0934
_cell_length_c 3.0829
_cell_angle_alpha 90.00
_cell_angle_beta 90.00
_cell_angle_gamma 90.00
_space_group_name_H-M_alt 'C m c m'
_space_group_IT_number 63
_space_group_name_Hall '-C 2c 2'
loop_
_atom_site_label
_atom_site_type_symbol
_atom_site_fract_x
_atom_site_fract_y
_atom_site_fract_z
Cd1 Cd 0.0000 0.0884 0.2500
Cd2 Cd 0.0000 0.2782 0.7500
W1 W 0.0000 0.4396 0.2500
# Total magnetization, μB/f.u.: 0.00
# E_tot, eV per atom: -4.485
# ρ, g/cm3: 11.0
# Crystal system: orthorhombic
# Formation energy from the elements, eV/atom: 0.443



(2)
# PBE-GGA FeBPt2, relaxed
data_FeBPt2
_chemical_formula_sum 'Fe3 B3 Pt6'
_cell_length_a 2.8939
_cell_length_b 2.8939
_cell_length_c 21.7566
_cell_angle_alpha 90.00
_cell_angle_beta 90.00
_cell_angle_gamma 120.00
_space_group_name_H-M_alt 'R -3 m'
_space_group_IT_number 166
_space_group_name_Hall '-R 3 2"'
loop_
_atom_site_label
_atom_site_type_symbol
_atom_site_fract_x
_atom_site_fract_y
_atom_site_fract_z
Fe1 Fe 0.0000 0.0000 0.0000
B1 B 0.0000 0.0000 0.5000
Pt1 Pt 0.0000 0.0000 0.2327
# Total magnetization, μB/f.u.: 3.15
# E_tot, eV per atom: -6.769
# ρ, g/cm3: 14.4
# Crystal system: trigonal
# Formation energy from the elements, eV/atom: 0.037



(3)
# PBE-GGA CdPBr2, relaxed
data_CdPBr2
_chemical_formula_sum 'Cd4 P4 Br8'
_cell_length_a 7.1914
_cell_length_b 7.1914
_cell_length_c 7.1914
_cell_angle_alpha 90.00
_cell_angle_beta 90.00
_cell_angle_gamma 90.00
_space_group_name_H-M_alt 'F -4 3 m'
_space_group_IT_number 216
_space_group_name_Hall 'F -4 2 3'
loop_
_atom_site_label
_atom_site_type_symbol
_atom_site_fract_x
_atom_site_fract_y
_atom_site_fract_z
Cd1 Cd 0.0000 0.0000 0.0000
P1 P 0.2500 0.2500 0.2500
Br1 Br 0.0000 0.0000 0.5000
Br2 Br 0.2500 0.2500 0.7500
# Total magnetization, μB/f.u.: 0.00
# E_tot, eV per atom: -1.862
# ρ, g/cm3: 5.4
# Crystal system: cubic
# Energy relative to the elements, uncorrected, eV per atom: 0.56



(4)
# PBE-GGA NaAcLaMg, relaxed
data_NaAcLaMg
_chemical_formula_sum 'Na4 Ac4 La4 Mg4'
_cell_length_a 8.2649
_cell_length_b 8.2649
_cell_length_c 8.2649
_cell_angle_alpha 90.00
_cell_angle_beta 90.00
_cell_angle_gamma 90.00
_space_group_name_H-M_alt 'F -4 3 m'
_space_group_IT_number 216
_space_group_name_Hall 'F -4 2 3'
loop_
_atom_site_label
_atom_site_type_symbol
_atom_site_fract_x
_atom_site_fract_y
_atom_site_fract_z
Na1 Na 0.0000 0.0000 0.0000
Ac1 Ac 0.2500 0.2500 0.7500
La1 La 0.2500 0.2500 0.2500
Mg1 Mg 0.0000 0.0000 0.5000
# Total magnetization, μB/f.u.: 0.00
# E_tot, eV per atom: -2.885
# ρ, g/cm3: 4.9
# Crystal system: cubic
# Formation energy from the elements, eV/atom: 0.102



(5)
# PBE-GGA NaCeAg4, relaxed
data_NaCeAg4
_chemical_formula_sum 'Na4 Ce4 Ag16'
_cell_length_a 8.0739
_cell_length_b 8.0739
_cell_length_c 8.0739
_cell_angle_alpha 90.00
_cell_angle_beta 90.00
_cell_angle_gamma 90.00
_space_group_name_H-M_alt 'F -4 3 m'
_space_group_IT_number 216
_space_group_name_Hall 'F -4 2 3'
loop_
_atom_site_label
_atom_site_type_symbol
_atom_site_fract_x
_atom_site_fract_y
_atom_site_fract_z
Na1 Na 0.0000 0.0000 0.0000
Ce1 Ce 0.2500 0.2500 0.2500
Ag1 Ag 0.1258 0.1258 0.6258
# Total magnetization, μB/f.u.: 1.50
# E_tot, eV per atom: -3.155
# ρ, g/cm3: 7.5
# Crystal system: cubic
# Formation energy from the elements, eV/atom: -0.046



(6)
# PBE-GGA TaBeSe2N, relaxed
data_TaBeSe2N
_chemical_formula_sum 'Ta1 Be1 Se2 N1'
_cell_length_a 4.8274
_cell_length_b 4.8274
_cell_length_c 3.1422
_cell_angle_alpha 90.00
_cell_angle_beta 90.00
_cell_angle_gamma 90.00
_space_group_name_H-M_alt 'P 4/m m m'
_space_group_IT_number 123
_space_group_name_Hall '-P 4 2'
loop_
_atom_site_label
_atom_site_type_symbol
_atom_site_fract_x
_atom_site_fract_y
_atom_site_fract_z
Ta1 Ta 0.0000 0.0000 0.0000
Be1 Be 0.5000 0.5000 0.5000
Se1 Se 0.0000 0.5000 0.5000
N1 N 0.5000 0.5000 0.0000
# Total magnetization, μB/f.u.: 0.00
# E_tot, eV per atom: -5.757
# ρ, g/cm3: 8.2
# Crystal system: tetragonal
# Energy relative to the elements, uncorrected, eV per atom: 0.42



(7)
# PBE-GGA La6SiS5, relaxed
data_La6SiS5
_chemical_formula_sum 'La12 Si2 S10'
_cell_length_a 7.2762
_cell_length_b 12.6057
_cell_length_c 7.2922
_cell_angle_alpha 90.00
_cell_angle_beta 109.38
_cell_angle_gamma 90.00
_space_group_name_H-M_alt 'C 1 2/m 1'
_space_group_IT_number 12
_space_group_name_Hall '-C 2y'
loop_
_atom_site_label
_atom_site_type_symbol
_atom_site_fract_x
_atom_site_fract_y
_atom_site_fract_z
La1 La 0.2494 0.0000 0.2487
La2 La 0.2503 0.1664 0.7501
Si1 Si 0.0000 0.5000 0.0000
S1 S 0.0000 0.0000 0.5000
S2 S 0.0000 0.1671 0.0000
S3 S 0.0000 0.3346 0.5000
# Total magnetization, μB/f.u.: 0.00
# E_tot, eV per atom: -6.576
# ρ, g/cm3: 5.4
# Crystal system: monoclinic
# Energy relative to the elements, uncorrected, eV per atom: -1.94



(8)
# PBE-GGA HgBrCl2, relaxed
data_HgBrCl2
_chemical_formula_sum 'Hg1 Br1 Cl2'
_cell_length_a 5.0413
_cell_length_b 5.0795
_cell_length_c 4.9932
_cell_angle_alpha 90.00
_cell_angle_beta 90.00
_cell_angle_gamma 90.00
_space_group_name_H-M_alt 'P m m 2'
_space_group_IT_number 25
_space_group_name_Hall 'P 2 -2'
loop_
_atom_site_label
_atom_site_type_symbol
_atom_site_fract_x
_atom_site_fract_y
_atom_site_fract_z
Hg1 Hg 0.0000 0.0000 0.0000
Br1 Br 0.5000 0.5000 0.0038
Cl1 Cl 0.0000 0.0000 0.5001
Cl2 Cl 0.5000 0.5000 0.5037
# Total magnetization, μB/f.u.: 0.00
# E_tot, eV per atom: -1.537
# ρ, g/cm3: 4.6
# Crystal system: orthorhombic
# Energy relative to the elements, uncorrected, eV per atom: -0.12



(9)
# PBE-GGA TaTi3P, relaxed
data_TaTi3P
_chemical_formula_sum 'Ta1 Ti3 P1'
_cell_length_a 4.5089
_cell_length_b 4.5089
_cell_length_c 4.5089
_cell_angle_alpha 90.00
_cell_angle_beta 90.00
_cell_angle_gamma 90.00
_space_group_name_H-M_alt 'P m -3 m'
_space_group_IT_number 221
_space_group_name_Hall '-P 4 2 3'
loop_
_atom_site_label
_atom_site_type_symbol
_atom_site_fract_x
_atom_site_fract_y
_atom_site_fract_z
Ta1 Ta 0.0000 0.0000 0.0000
Ti1 Ti 0.0000 0.5000 0.5000
P1 P 0.5000 0.5000 0.5000
# Total magnetization, μB/f.u.: 0.00
# E_tot, eV per atom: -8.245
# ρ, g/cm3: 6.4
# Crystal system: cubic
# Formation energy from the elements, eV/atom: -0.056



(10)
# PBE-GGA Mn4Au5, relaxed
data_Mn4Au5
_chemical_formula_sum 'Mn8 Au10'
_cell_length_a 8.4416
_cell_length_b 8.4416
_cell_length_c 4.2282
_cell_angle_alpha 90.00
_cell_angle_beta 90.00
_cell_angle_gamma 90.00
_space_group_name_H-M_alt 'I 4/m m m'
_space_group_IT_number 139
_space_group_name_Hall '-I 4 2'
loop_
_atom_site_label
_atom_site_type_symbol
_atom_site_fract_x
_atom_site_fract_y
_atom_site_fract_z
Mn1 Mn 0.0000 0.3357 0.0000
Au1 Au 0.0000 0.0000 0.0000
Au2 Au 0.1706 0.1706 0.5000
# Total magnetization, μB/f.u.: 15.95
# E_tot, eV per atom: -5.849
# ρ, g/cm3: 13.3
# Crystal system: tetragonal
# Formation energy from the elements, eV/atom: 0.047



(11)
# PBE-GGA Hf2VNi9, relaxed
data_Hf2VNi9
_chemical_formula_sum 'Hf2 V1 Ni9'
_cell_length_a 3.6827
_cell_length_b 3.6827
_cell_length_c 10.9935
_cell_angle_alpha 90.00
_cell_angle_beta 90.00
_cell_angle_gamma 90.00
_space_group_name_H-M_alt 'P 4/m m m'
_space_group_IT_number 123
_space_group_name_Hall '-P 4 2'
loop_
_atom_site_label
_atom_site_type_symbol
_atom_site_fract_x
_atom_site_fract_y
_atom_site_fract_z
Hf1 Hf 0.0000 0.0000 0.1721
V1 V 0.0000 0.0000 0.5000
Ni1 Ni 0.0000 0.5000 0.0000
Ni2 Ni 0.0000 0.5000 0.3441
Ni3 Ni 0.5000 0.5000 0.1715
Ni4 Ni 0.5000 0.5000 0.5000
# Total magnetization, μB/f.u.: 1.24
# E_tot, eV per atom: -7.135
# ρ, g/cm3: 10.4
# Crystal system: tetragonal
# Formation energy from the elements, eV/atom: -0.380



(12)
# PBE-GGA CeGa2Br6, relaxed
data_CeGa2Br6
_chemical_formula_sum 'Ce2 Ga4 Br12'
_cell_length_a 13.5241
_cell_length_b 5.1240
_cell_length_c 10.0122
_cell_angle_alpha 90.00
_cell_angle_beta 91.41
_cell_angle_gamma 90.00
_space_group_name_H-M_alt 'C 1 2/m 1'
_space_group_IT_number 12
_space_group_name_Hall '-C 2y'
loop_
_atom_site_label
_atom_site_type_symbol
_atom_site_fract_x
_atom_site_fract_y
_atom_site_fract_z
Ce1 Ce 0.0000 0.0000 0.0000
Ga1 Ga 0.2227 0.5000 0.3320
Br1 Br 0.0855 0.0000 0.7420
Br2 Br 0.1243 0.5000 0.0647
Br3 Br 0.1966 0.0000 0.3586
# Total magnetization, μB/f.u.: 1.15
# E_tot, eV per atom: -3.484
# ρ, g/cm3: 3.6
# Crystal system: monoclinic
# Energy relative to the elements, uncorrected, eV per atom: -1.04



(13)
# PBE-GGA Sc3CuPd4, relaxed
data_Sc3CuPd4
_chemical_formula_sum 'Sc9 Cu3 Pd12'
_cell_length_a 4.6010
_cell_length_b 4.6010
_cell_length_c 22.3221
_cell_angle_alpha 90.00
_cell_angle_beta 90.00
_cell_angle_gamma 120.00
_space_group_name_H-M_alt 'R -3 m'
_space_group_IT_number 166
_space_group_name_Hall '-R 3 2"'
loop_
_atom_site_label
_atom_site_type_symbol
_atom_site_fract_x
_atom_site_fract_y
_atom_site_fract_z
Sc1 Sc 0.0000 0.0000 0.0000
Sc2 Sc 0.0000 0.0000 0.2416
Cu1 Cu 0.0000 0.0000 0.5000
Pd1 Pd 0.0000 0.0000 0.1210
Pd2 Pd 0.0000 0.0000 0.3749
# Total magnetization, μB/f.u.: 0.00
# E_tot, eV per atom: -6.243
# ρ, g/cm3: 7.6
# Crystal system: trigonal
# Formation energy from the elements, eV/atom: -0.761



(14)
# PBE-GGA ZnFe2ReSe, relaxed
data_ZnFe2ReSe
_chemical_formula_sum 'Zn1 Fe2 Re1 Se1'
_cell_length_a 4.3057
_cell_length_b 4.3057
_cell_length_c 4.6144
_cell_angle_alpha 90.00
_cell_angle_beta 90.00
_cell_angle_gamma 90.00
_space_group_name_H-M_alt 'P 4/m m m'
_space_group_IT_number 123
_space_group_name_Hall '-P 4 2'
loop_
_atom_site_label
_atom_site_type_symbol
_atom_site_fract_x
_atom_site_fract_y
_atom_site_fract_z
Zn1 Zn 0.0000 0.0000 0.0000
Fe1 Fe 0.0000 0.5000 0.5000
Re1 Re 0.5000 0.5000 0.0000
Se1 Se 0.5000 0.5000 0.5000
# Total magnetization, μB/f.u.: 3.77
# E_tot, eV per atom: -5.823
# ρ, g/cm3: 8.6
# Crystal system: tetragonal
# Energy relative to the elements, uncorrected, eV per atom: 1.00



(15)
# PBE-GGA FeTc2W, relaxed
data_FeTc2W
_chemical_formula_sum 'Fe1 Tc2 W1'
_cell_length_a 2.6940
_cell_length_b 2.6940
_cell_length_c 7.7540
_cell_angle_alpha 90.00
_cell_angle_beta 90.00
_cell_angle_gamma 90.00
_space_group_name_H-M_alt 'P 4/m m m'
_space_group_IT_number 123
_space_group_name_Hall '-P 4 2'
loop_
_atom_site_label
_atom_site_type_symbol
_atom_site_fract_x
_atom_site_fract_y
_atom_site_fract_z
Fe1 Fe 0.0000 0.0000 0.0000
Tc1 Tc 0.5000 0.5000 0.2225
W1 W 0.0000 0.0000 0.5000
# Total magnetization, μB/f.u.: 0.53
# E_tot, eV per atom: -10.373
# ρ, g/cm3: 12.9
# Crystal system: tetragonal
# Formation energy from the elements, eV/atom: 0.164



(16)
# PBE-GGA BaTe2As, relaxed
data_BaTe2As
_chemical_formula_sum 'Ba4 Te8 As4'
_cell_length_a 7.9717
_cell_length_b 7.9717
_cell_length_c 7.9717
_cell_angle_alpha 90.00
_cell_angle_beta 90.00
_cell_angle_gamma 90.00
_space_group_name_H-M_alt 'F -4 3 m'
_space_group_IT_number 216
_space_group_name_Hall 'F -4 2 3'
loop_
_atom_site_label
_atom_site_type_symbol
_atom_site_fract_x
_atom_site_fract_y
_atom_site_fract_z
Ba1 Ba 0.0000 0.0000 0.0000
Te1 Te 0.0000 0.0000 0.5000
Te2 Te 0.2500 0.2500 0.7500
As1 As 0.2500 0.2500 0.2500
# Total magnetization, μB/f.u.: 0.00
# E_tot, eV per atom: -3.462
# ρ, g/cm3: 6.1
# Crystal system: cubic
# Energy relative to the elements, uncorrected, eV per atom: -0.25



(17)
# PBE-GGA TaMn2Be, relaxed
data_TaMn2Be
_chemical_formula_sum 'Ta1 Mn2 Be1'
_cell_length_a 2.7245
_cell_length_b 3.9242
_cell_length_c 4.7188
_cell_angle_alpha 90.00
_cell_angle_beta 102.23
_cell_angle_gamma 90.00
_space_group_name_H-M_alt 'P 1 m 1'
_space_group_IT_number 6
_space_group_name_Hall 'P -2y'
loop_
_atom_site_label
_atom_site_type_symbol
_atom_site_fract_x
_atom_site_fract_y
_atom_site_fract_z
Ta1 Ta 0.0000 0.0000 0.0000
Mn1 Mn 0.2600 0.5000 0.6716
Mn2 Mn 0.5369 0.0000 0.4935
Be1 Be 0.5956 0.5000 0.2308
# Total magnetization, μB/f.u.: 0.97
# E_tot, eV per atom: -8.425
# ρ, g/cm3: 10.1
# Crystal system: monoclinic
# Formation energy from the elements, eV/atom: 0.054



(18)
# PBE-GGA Sm3ErMg3, relaxed
data_Sm3ErMg3
_chemical_formula_sum 'Sm12 Er4 Mg12'
_cell_length_a 10.7240
_cell_length_b 11.2484
_cell_length_c 7.0632
_cell_angle_alpha 90.00
_cell_angle_beta 90.00
_cell_angle_gamma 90.00
_space_group_name_H-M_alt 'C m m m'
_space_group_IT_number 65
_space_group_name_Hall '-C 2 2'
loop_
_atom_site_label
_atom_site_type_symbol
_atom_site_fract_x
_atom_site_fract_y
_atom_site_fract_z
Sm1 Sm 0.0000 0.0000 0.2465
Sm2 Sm 0.2500 0.2500 0.2527
Er1 Er 0.1899 0.5000 0.0000
Mg1 Mg 0.0000 0.2565 0.0000
Mg2 Mg 0.0000 0.3135 0.5000
Mg3 Mg 0.2179 0.5000 0.5000
# Total magnetization, μB/f.u.: 0.00
# E_tot, eV per atom: -3.285
# ρ, g/cm3: 5.4
# Crystal system: orthorhombic
# Formation energy from the elements, eV/atom: 0.073



(19)
# PBE-GGA KLi2TaF, relaxed
data_KLi2TaF
_chemical_formula_sum 'K1 Li2 Ta1 F1'
_cell_length_a 5.2169
_cell_length_b 5.2169
_cell_length_c 7.3032
_cell_angle_alpha 90.00
_cell_angle_beta 90.00
_cell_angle_gamma 90.00
_space_group_name_H-M_alt 'P 4/m m m'
_space_group_IT_number 123
_space_group_name_Hall '-P 4 2'
loop_
_atom_site_label
_atom_site_type_symbol
_atom_site_fract_x
_atom_site_fract_y
_atom_site_fract_z
K1 K 0.0000 0.0000 0.0000
Li1 Li 0.0000 0.5000 0.5000
Ta1 Ta 0.0000 0.0000 0.5000
F1 F 0.5000 0.5000 0.0000
# Total magnetization, μB/f.u.: 5.00
# E_tot, eV per atom: -2.916
# ρ, g/cm3: 2.1
# Crystal system: tetragonal
# Energy relative to the elements, uncorrected, eV per atom: 0.81



(20)
# PBE-GGA Mo5Ir, relaxed
data_Mo5Ir
_chemical_formula_sum 'Mo20 Ir4'
_cell_length_a 7.2850
_cell_length_b 7.2850
_cell_length_c 7.2850
_cell_angle_alpha 90.00
_cell_angle_beta 90.00
_cell_angle_gamma 90.00
_space_group_name_H-M_alt 'F -4 3 m'
_space_group_IT_number 216
_space_group_name_Hall 'F -4 2 3'
loop_
_atom_site_label
_atom_site_type_symbol
_atom_site_fract_x
_atom_site_fract_y
_atom_site_fract_z
Mo1 Mo 0.0000 0.0000 0.0000
Mo2 Mo 0.1260 0.1260 0.6260
Ir1 Ir 0.2500 0.2500 0.2500
# Total magnetization, μB/f.u.: 0.00
# E_tot, eV per atom: -10.243
# ρ, g/cm3: 11.5
# Crystal system: cubic
# Formation energy from the elements, eV/atom: 0.259